Entry 1:
# TbMg2Cd

A relaxed TbMg2Cd crystal (PBE-GGA, OQMD via LeMat-Bulk).

```
data_TbMg2Cd
_cell_length_a 4.9929
_cell_length_b 7.8523
_cell_length_c 10.0421
_cell_angle_alpha 90.00
_cell_angle_beta 90.00
_cell_angle_gamma 90.00
_symmetry_space_group_name_H-M 'A m m 2'
_symmetry_Int_Tables_number 38
_symmetry_space_group_name_Hall 'A 2 -2'
loop_
_atom_site_label
_atom_site_type_symbol
_atom_site_fract_x
_atom_site_fract_y
_atom_site_fract_z
Tb1 Tb 0.0000 0.2340 0.0000
Mg1 Mg 0.0000 0.0000 0.7403
Mg2 Mg 0.5000 0.0000 0.5048
Mg3 Mg 0.5000 0.2262 0.2393
Cd1 Cd 0.0000 0.0000 0.2663
Cd2 Cd 0.5000 0.0000 0.9609
```

* V: 24.61 Å³ per atom
* total magnetic moment: 0.0 μB/cell
* E above lowest polymorph: 5.1 kJ per mole of atoms
* uncorrected energy: -9.234 eV per formula unit


Entry 2:
# TbMg2Cd

A relaxed TbMg2Cd crystal (PBE-GGA, OQMD via LeMat-Bulk).

```
data_TbMg2Cd
_cell_length_a 6.4946
_cell_length_b 11.6444
_cell_length_c 5.0737
_cell_angle_alpha 90.00
_cell_angle_beta 90.00
_cell_angle_gamma 90.00
_symmetry_space_group_name_H-M 'C m c m'
_symmetry_Int_Tables_number 63
_symmetry_space_group_name_Hall '-C 2c 2'
loop_
_atom_site_label
_atom_site_type_symbol
_atom_site_fract_x
_atom_site_fract_y
_atom_site_fract_z
Tb1 Tb 0.0000 0.1742 0.2500
Mg1 Mg 0.2429 0.4240 0.2500
Cd1 Cd 0.0000 0.3356 0.7500
```

* V: 23.98 Å³ per atom
* total magnetic moment: 0.0 μB/cell
* E above lowest polymorph: 1.3 kJ per mole of atoms
* uncorrected energy: -9.392 eV per formula unit


Entry 3:
# TbMg2Cd

A relaxed TbMg2Cd crystal (PBE-GGA, OQMD via LeMat-Bulk).

```
data_TbMg2Cd
_cell_length_a 5.0862
_cell_length_b 11.2254
_cell_length_c 6.7754
_cell_angle_alpha 90.00
_cell_angle_beta 90.00
_cell_angle_gamma 90.00
_symmetry_space_group_name_H-M 'A m a 2'
_symmetry_Int_Tables_number 40
_symmetry_space_group_name_Hall 'A 2 -2a'
loop_
_atom_site_label
_atom_site_type_symbol
_atom_site_fract_x
_atom_site_fract_y
_atom_site_fract_z
Tb1 Tb 0.2500 0.1524 0.0000
Mg1 Mg 0.2500 0.1627 0.4945
Mg2 Mg 0.2500 0.4142 0.2237
Cd1 Cd 0.2500 0.4064 0.7598
```

* V: 24.18 Å³ per atom
* total magnetic moment: 0.0 μB/cell
* E above lowest polymorph: 2.8 kJ per mole of atoms
* uncorrected energy: -9.328 eV per formula unit


Entry 4:
# TbMgCd6

A relaxed TbMgCd6 crystal (PBE-GGA, OQMD via LeMat-Bulk).

```
data_TbMgCd6
_cell_length_a 6.5083
_cell_length_b 6.5083
_cell_length_c 4.9506
_cell_angle_alpha 90.00
_cell_angle_beta 90.00
_cell_angle_gamma 120.00
_symmetry_space_group_name_H-M 'P -6 m 2'
_symmetry_Int_Tables_number 187
_symmetry_space_group_name_Hall 'P -6 2'
loop_
_atom_site_label
_atom_site_type_symbol
_atom_site_fract_x
_atom_site_fract_y
_atom_site_fract_z
Tb1 Tb 0.0000 0.0000 0.0000
Mg1 Mg 0.6667 0.3333 0.5000
Cd1 Cd 0.0008 0.5004 0.0000
Cd2 Cd 0.1704 0.3407 0.5000
```

* V: 22.70 Å³ per atom
* total magnetic moment: 0.0 μB/cell
* uncorrected energy: -12.804 eV per formula unit